Record 1
VASP calculation (PBE) on an optimized crystal structure of RbZnCo2Rh.

Formation energy = 776 meV per atom
Size of the total moment = 4.8 μB per cell
Energy = -3.9849 eV/atom

Cell and atoms, written as CIF:
```
data_RbZnCo2Rh
_chemical_formula_sum 'Rb1 Zn1 Co2 Rh1'
_space_group_name_H-M_alt 'P 4/m m m'
_space_group_IT_number 123
_space_group_name_Hall '-P 4 2'
_cell_length_a 4.7867
_cell_length_b 4.7867
_cell_length_c 4.9674
_cell_angle_alpha 90.00
_cell_angle_beta 90.00
_cell_angle_gamma 90.00
loop_
_atom_site_label
_atom_site_type_symbol
_atom_site_fract_x
_atom_site_fract_y
_atom_site_fract_z
Rb1 Rb 0.0000 0.0000 0.0000
Zn1 Zn 0.5000 0.5000 0.0000
Co1 Co 0.0000 0.5000 0.5000
Rh1 Rh 0.5000 0.5000 0.5000
```



Record 2
VASP calculation (PBE) on an optimized crystal structure of MgAg2Pd6.

Energy above the most stable polymorph in this dataset = 0.114 eV/atom
Formation energy = -102 meV per atom
Size of the total moment = 0.0 μB per cell
Energy = -4.3751 eV/atom

Cell and atoms, written as CIF:
```
data_MgAg2Pd6
_chemical_formula_sum 'Mg2 Ag4 Pd12'
_space_group_name_H-M_alt 'C 1 2/m 1'
_space_group_IT_number 12
_cell_length_a 8.1736
_cell_length_b 5.5123
_cell_length_c 6.9504
_cell_angle_alpha 90.00
_cell_angle_beta 105.82
_cell_angle_gamma 90.00
loop_
_space_group_symop_operation_xyz
'x,y,z'
'-x,-y,-z'
'-x,y,-z'
'x,-y,z'
'x+1/2,y+1/2,z'
'-x+1/2,-y+1/2,-z'
'-x+1/2,y+1/2,-z'
'x+1/2,-y+1/2,z'
loop_
_atom_site_label
_atom_site_type_symbol
_atom_site_fract_x
_atom_site_fract_y
_atom_site_fract_z
Mg1 Mg 0.0000 0.0000 0.0000
Ag1 Ag 0.1721 0.5000 0.0816
Pd1 Pd 0.0458 0.2572 0.7042
Pd2 Pd 0.2428 0.0000 0.4918
```



Record 3
VASP calculation (PBE) on an optimized crystal structure of AlV2H.

Energy above the most stable polymorph in this dataset = 0.851 eV/atom
Size of the total moment = 0.0 μB per cell
Energy = -5.7116 eV/atom

Cell and atoms, written as CIF:
```
data_AlV2H
_chemical_formula_sum 'Al4 V8 H4'
_space_group_name_H-M_alt 'F m -3 m'
_space_group_IT_number 225
_space_group_name_Hall '-F 4 2 3'
_cell_length_a 5.8341
_cell_length_b 5.8341
_cell_length_c 5.8341
_cell_angle_alpha 90.00
_cell_angle_beta 90.00
_cell_angle_gamma 90.00
loop_
_atom_site_label
_atom_site_type_symbol
_atom_site_fract_x
_atom_site_fract_y
_atom_site_fract_z
Al1 Al 0.0000 0.0000 0.0000
V1 V 0.2500 0.2500 0.2500
H1 H 0.0000 0.0000 0.5000
```



Record 4
VASP calculation (PBE) on an optimized crystal structure of Ho12HgPd6.

Energy above the most stable polymorph in this dataset = 0.000 eV/atom
Formation energy = -613 meV per atom
Size of the total moment = 0.0 μB per cell
Energy = -5.1595 eV/atom

Cell and atoms, written as CIF:
```
data_Ho12HgPd6
_chemical_formula_sum 'Ho24 Hg2 Pd12'
_space_group_name_H-M_alt 'I m -3'
_space_group_IT_number 204
_space_group_name_Hall '-I 2 2 3'
_cell_length_a 9.8762
_cell_length_b 9.8762
_cell_length_c 9.8762
_cell_angle_alpha 90.00
_cell_angle_beta 90.00
_cell_angle_gamma 90.00
loop_
_atom_site_label
_atom_site_type_symbol
_atom_site_fract_x
_atom_site_fract_y
_atom_site_fract_z
Ho1 Ho 0.0000 0.2948 0.1826
Hg1 Hg 0.0000 0.0000 0.0000
Pd1 Pd 0.0000 0.1377 0.5000
```



- Which value of energy does entry 3 give?
  -5.7116 eV/atom



Repeat the third record exactly.
VASP calculation (PBE) on an optimized crystal structure of AlV2H.

Energy above the most stable polymorph in this dataset = 0.851 eV/atom
Size of the total moment = 0.0 μB per cell
Energy = -5.7116 eV/atom

Cell and atoms, written as CIF:
```
data_AlV2H
_chemical_formula_sum 'Al4 V8 H4'
_space_group_name_H-M_alt 'F m -3 m'
_space_group_IT_number 225
_space_group_name_Hall '-F 4 2 3'
_cell_length_a 5.8341
_cell_length_b 5.8341
_cell_length_c 5.8341
_cell_angle_alpha 90.00
_cell_angle_beta 90.00
_cell_angle_gamma 90.00
loop_
_atom_site_label
_atom_site_type_symbol
_atom_site_fract_x
_atom_site_fract_y
_atom_site_fract_z
Al1 Al 0.0000 0.0000 0.0000
V1 V 0.2500 0.2500 0.2500
H1 H 0.0000 0.0000 0.5000
```



- What is the energy in the third record?
  -5.7116 eV/atom